Record 1
The following is a GGA-PBE calculation of an optimized crystal structure of Tb2Sm3Tm7, from Alexandria via LeMat-Bulk.

The space group is P2/m (No. 10) and the conventional cell measures 5.7567, 3.5411 and 18.6181 Å, with angles of 90.00, 93.16 and 90.00 degrees. The distinct sites, in fractional coordinates, are Tb at (0.2100, 0.0000, 0.2918), Sm at (0.0000, 0.0000, 0.0000), Sm at (0.2769, 0.5000, 0.6323), Tm at (0.1902, 0.5000, 0.1427), Tm at (0.2427, 0.0000, 0.4619), Tm at (0.3072, 0.0000, 0.8256) and Tm at (0.5000, 0.5000, 0.0000).

The calculation puts the raw total energy at -53.6 eV per cell. The value obtained for the calculated formation energy is 90 meV/atom.

Record 2
The following is a GGA-PBE calculation of an optimized crystal structure of Tb6Sm5Tm2, from Alexandria via LeMat-Bulk.

The space group is Pbam (No. 55) and the conventional cell measures 11.6295, 20.4888 and 3.5867 Å, with angles of 90.00, 90.00 and 90.00 degrees. The distinct sites, in fractional coordinates, are Tb at (0.0611, 0.0814, 0.0000), Tb at (0.0823, 0.3684, 0.0000), Tb at (0.1731, 0.6389, 0.5000), Sm at (0.0000, 0.5000, 0.5000), Sm at (0.0864, 0.2274, 0.5000), Sm at (0.1980, 0.9482, 0.5000) and Tm at (0.1693, 0.7903, 0.0000).

The calculation puts the raw total energy at -118.2 eV per cell. The value obtained for the calculated formation energy is 95 meV/atom.

Record 3
The following is a GGA-PBE calculation of an optimized crystal structure of Tb6Sm5Tm, from Alexandria via LeMat-Bulk.

The space group is Immm (No. 71) and the conventional cell measures 5.0619, 10.1342 and 15.1923 Å, with angles of 90.00, 90.00 and 90.00 degrees. The distinct sites, in fractional coordinates, are Tb at (0.0000, 0.2483, 0.0000), Tb at (0.0000, 0.2511, 0.3338), Sm at (0.0000, 0.0000, 0.1658), Sm at (0.0000, 0.0000, 0.5000), Sm at (0.0000, 0.5000, 0.1666) and Tm at (0.0000, 0.5000, 0.5000).

The calculation puts the raw total energy at -111.3 eV per cell. The value obtained for the calculated formation energy is 17 meV/atom.

Record 4
The following is a GGA-PBE calculation of an optimized crystal structure of Tb8Sm2Tm3, from Alexandria via LeMat-Bulk.

The space group is C2/m (No. 12) and the conventional cell measures 14.8131, 9.1244 and 6.7981 Å, with angles of 90.00, 108.37 and 90.00 degrees. The distinct sites, in fractional coordinates, are Tb at (0.0838, 0.0000, 0.2231), Tb at (0.1175, 0.1820, 0.6781), Tb at (0.1888, 0.5000, 0.3873), Sm at (0.2126, 0.5000, 0.9178), Tm at (0.0000, 0.3287, 0.0000) and Tm at (0.0000, 0.5000, 0.5000).

The calculation puts the raw total energy at -114.1 eV per cell. The value obtained for the calculated formation energy is 219 meV/atom. Its energy above the most stable polymorph in this dataset is 0 meV per atom.

Record 5
The following is a GGA-PBE calculation of an optimized crystal structure of Tb3Sm4Tm4, from Alexandria via LeMat-Bulk.

The space group is Immm (No. 71) and the conventional cell measures 3.5619, 5.0189 and 39.1543 Å, with angles of 90.00, 90.00 and 90.00 degrees. The distinct sites, in fractional coordinates, are Tb at (0.0000, 0.0000, 0.0000), Tb at (0.0000, 0.0000, 0.3635), Sm at (0.0000, 0.0000, 0.1824), Sm at (0.0000, 0.0000, 0.4542), Tm at (0.0000, 0.0000, 0.0916) and Tm at (0.0000, 0.0000, 0.2722).

The calculation puts the raw total energy at -100.9 eV per cell. The value obtained for the calculated formation energy is 19 meV/atom. Its energy above the most stable polymorph in this dataset is 0 meV per atom.

Record 6
The following is a GGA-PBE calculation of an optimized crystal structure of Tb2Sm5Tm4, from Alexandria via LeMat-Bulk.

The space group is C2/m (No. 12) and the conventional cell measures 14.3037, 6.5758 and 8.4932 Å, with angles of 90.00, 114.17 and 90.00 degrees. The distinct sites, in fractional coordinates, are Tb at (0.1473, 0.0000, 0.2642), Sm at (0.0000, 0.0000, 0.5000), Sm at (0.0937, 0.2603, 0.8844), Tm at (0.1069, 0.5000, 0.4948) and Tm at (0.2456, 0.5000, 0.2756).

The calculation puts the raw total energy at -96.5 eV per cell. The value obtained for the calculated formation energy is 227 meV/atom. Its energy above the most stable polymorph in this dataset is 31 meV per atom.

Record 7
The following is a GGA-PBE calculation of an optimized crystal structure of TbSm6Tm5, from Alexandria via LeMat-Bulk.

The space group is Cmmm (No. 65) and the conventional cell measures 5.0513, 15.1661 and 10.0127 Å, with angles of 90.00, 90.00 and 90.00 degrees. The distinct sites, in fractional coordinates, are Tb at (0.0000, 0.0000, 0.0000), Sm at (0.0000, 0.1667, 0.2508), Sm at (0.0000, 0.5000, 0.2509), Tm at (0.0000, 0.0000, 0.5000), Tm at (0.0000, 0.3328, 0.0000) and Tm at (0.0000, 0.3334, 0.5000).

The calculation puts the raw total energy at -110.1 eV per cell. The value obtained for the calculated formation energy is 23 meV/atom.

Record 8
The following is a GGA-PBE calculation of an optimized crystal structure of Tb2Sm3Tm6, from Alexandria via LeMat-Bulk.

The space group is I4/mmm (No. 139) and the conventional cell measures 4.7079, 4.7079 and 33.0321 Å, with angles of 90.00, 90.00 and 90.00 degrees. The distinct sites, in fractional coordinates, are Tb at (0.0000, 0.0000, 0.0463), Sm at (0.0000, 0.0000, 0.2968), Sm at (0.0000, 0.0000, 0.5000), Tm at (0.0000, 0.0000, 0.1931) and Tm at (0.0000, 0.5000, 0.1212).

The calculation puts the raw total energy at -94.4 eV per cell. The value obtained for the calculated formation energy is 277 meV/atom. Its energy above the most stable polymorph in this dataset is 76 meV per atom.